The following is a PBE-GGA calculation of a relaxed Ba6As2PBr crystal, from Alexandria via LeMat-Bulk.

Summary:
* ρ: 4.32 g/cm3
* calculated total energy: -3.873 eV per atom
* D(E_F): 4.24 states/eV/f.u.
* space group: P2_1/c, No. 14
* ΔE_f (raw): -1080.8 meV/atom

Unit cell a=7.8273 b=8.8677 c=12.0333 alpha=90.00 beta=88.01 gamma=90.00
Fractional positions:
Ba (0.3365, 0.9463, 0.7392)
Ba (0.3365, 0.6988, 0.4119)
Ba (0.6635, 0.0537, 0.2608)
Ba (0.3177, 0.6738, 0.0823)
Ba (0.8177, 0.8262, 0.5823)
Ba (0.1635, 0.1988, 0.0881)
Ba (0.1635, 0.4463, 0.7608)
Ba (0.6635, 0.3012, 0.5881)
Ba (0.1823, 0.1738, 0.4177)
Ba (0.8365, 0.8012, 0.9119)
Ba (0.6823, 0.3262, 0.9177)
Ba (0.8365, 0.5537, 0.2392)
P (0.0000, 0.5000, 0.0000)
P (0.5000, 0.0000, 0.5000)
Br (0.0000, 0.5000, 0.5000)
Br (0.5000, 0.0000, 0.0000)
As (0.0617, 0.8870, 0.2541)
As (0.4383, 0.3870, 0.2459)
As (0.9383, 0.1130, 0.7459)
As (0.5617, 0.6130, 0.7541)